1) LiTlBr2 | SCAN | PBEsol geometry

The structure belongs to space group Cm (No. 8); the cell edges are 12.3724, 4.1355 and 4.8254 Å and the angles 90.00°, 90.86° and 90.00°. The asymmetric unit holds Li at (0.0000, 0.0000, 0.0000), Tl at (0.2725, 0.0000, 0.3146), Br at (0.0412, 0.5000, 0.2676) and Br at (0.3172, 0.5000, 0.8087).

=====

2) LiTlBr2 | SCAN | PBEsol geometry

The structure belongs to space group R-3m (No. 166, hexagonal axes); the cell edges are 4.0259, 4.0259 and 26.0443 Å and the angles 90.00°, 90.00° and 120.00°. The asymmetric unit holds Li at (0.0000, 0.0000, 0.0000), Tl at (0.0000, 0.0000, 0.5000) and Br at (0.0000, 0.0000, 0.3879).

=====

Looking at the structures above, which would you pick as the most stable? I would pick 1).